(1)
A plane-wave DFT calculation with GGA-PBEsol was carried out for an optimized crystal structure of HfSnGe2Te.

Summary:
Uncorrected formation energy ... 519.5 meV/atom
Space group ... P4/mmm, No. 123

Cell lengths 5.1286, 5.1286, 5.5316 Å; angles 90.00, 90.00, 90.00 degrees
Element x y z (fractional)
Hf: 0.0000 0.0000 0.0000
Sn: 0.0000 0.0000 0.5000
Ge: 0.0000 0.5000 0.0000
Ge: 0.5000 0.0000 0.0000
Te: 0.5000 0.5000 0.5000



(2)
A plane-wave DFT calculation with GGA-PBEsol was carried out for an optimized crystal structure of SrHfGe3.

Summary:
Formation energy from the elements ... 7.1 eV per formula unit
Space group ... Pm-3m, No. 221

Cell lengths 5.1510, 5.1510, 5.1510 Å; angles 90.00, 90.00, 90.00 degrees
Element x y z (fractional)
Sr: 0.0000 0.0000 0.0000
Hf: 0.5000 0.5000 0.5000
Ge: 0.0000 0.0000 0.5000
Ge: 0.0000 0.5000 0.0000
Ge: 0.5000 0.0000 0.0000